# meta-GGA SCAN Ca3Ti3Cr2O12, PBEsol geometry
# Spin magnetization   48.00 Bohr magnetons per cell
# Crystal system   cubic
# DOS(E_F)   0.0 states/eV/cell
# Formation energy from raw total energies   -311.18 kJ/mol of atoms
data_Ca3Ti3Cr2O12
_chemical_formula_sum 'Ca24 Ti24 Cr16 O96'
_space_group_name_H-M_alt 'I a -3 d'
_space_group_IT_number 230
_space_group_name_Hall '-I 4bd 2c 3'
_cell_length_a 12.390
_cell_length_b 12.390
_cell_length_c 12.390
_cell_angle_alpha 90.00
_cell_angle_beta 90.00
_cell_angle_gamma 90.00
loop_
_atom_site_label
_atom_site_type_symbol
_atom_site_fract_x
_atom_site_fract_y
_atom_site_fract_z
_atom_site_occupancy
Ca1 Ca 0.000 0.250 0.125 1
Ti1 Ti 0.000 0.250 0.375 1
Cr1 Cr 0.000 0.000 0.000 1
O1 O 0.032 0.050 0.648 1


# meta-GGA SCAN Ca2CrOs, PBEsol geometry
# Spin magnetization   8.19 Bohr magnetons per cell
# ΔH_f (0 K)   559.7 meV/atom
# Crystal system   tetragonal
# DOS(E_F)   4.9 states/eV/cell
data_Ca2CrOs
_chemical_formula_sum 'Ca4 Cr2 Os2'
_space_group_name_H-M_alt 'I 4/m m m'
_space_group_IT_number 139
_space_group_name_Hall '-I 4 2'
_cell_length_a 4.456
_cell_length_b 4.456
_cell_length_c 8.215
_cell_angle_alpha 90.00
_cell_angle_beta 90.00
_cell_angle_gamma 90.00
loop_
_atom_site_label
_atom_site_type_symbol
_atom_site_fract_x
_atom_site_fract_y
_atom_site_fract_z
_atom_site_occupancy
Ca1 Ca 0.000 0.500 0.250 1
Cr1 Cr 0.000 0.000 0.000 1
Os1 Os 0.000 0.000 0.500 1


# meta-GGA SCAN CaCrOs2, PBEsol geometry
# Spin magnetization   0.00 Bohr magnetons per cell
# ΔH_f (0 K)   540.8 meV/atom
# Crystal system   trigonal
# DOS(E_F)   10.6 states/eV/cell
# Energy above the lowest structure with this stoichiometry   201 meV/atom
data_CaCrOs2
_chemical_formula_sum 'Ca3 Cr3 Os6'
_space_group_name_H-M_alt 'R -3 m'
_space_group_IT_number 166
_space_group_name_Hall '-R 3 2"'
_cell_length_a 2.7738
_cell_length_b 2.7738
_cell_length_c 27.2271
_cell_angle_alpha 90.00
_cell_angle_beta 90.00
_cell_angle_gamma 120.00
loop_
_atom_site_label
_atom_site_type_symbol
_atom_site_fract_x
_atom_site_fract_y
_atom_site_fract_z
_atom_site_occupancy
Ca1 Ca 0.0000 0.0000 0.0000 1
Cr1 Cr 0.0000 0.0000 0.5000 1
Os1 Os 0.0000 0.0000 0.2391 1


# meta-GGA SCAN CaCrOs2, PBEsol geometry
# Spin magnetization   0.01 Bohr magnetons per cell
# ΔH_f (0 K)   339.5 meV/atom
# Crystal system   tetragonal
# DOS(E_F)   4.4 states/eV/cell
# Energy above the lowest structure with this stoichiometry   0 meV/atom
data_CaCrOs2
_chemical_formula_sum 'Ca1 Cr1 Os2'
_space_group_name_H-M_alt 'P 4/m m m'
_space_group_IT_number 123
_space_group_name_Hall '-P 4 2'
_cell_length_a 2.873
_cell_length_b 2.873
_cell_length_c 7.610
_cell_angle_alpha 90.00
_cell_angle_beta 90.00
_cell_angle_gamma 90.00
loop_
_atom_site_label
_atom_site_type_symbol
_atom_site_fract_x
_atom_site_fract_y
_atom_site_fract_z
_atom_site_occupancy
Ca1 Ca 0.000 0.000 0.000 1
Cr1 Cr 0.000 0.000 0.500 1
Os1 Os 0.500 0.500 0.304 1


# meta-GGA SCAN Ca3CrOs, PBEsol geometry
# Spin magnetization   5.92 Bohr magnetons per cell
# ΔH_f (0 K)   608.1 meV/atom
# Crystal system   cubic
# DOS(E_F)   3.6 states/eV/cell
data_Ca3CrOs
_chemical_formula_sum 'Ca3 Cr1 Os1'
_space_group_name_H-M_alt 'P m -3 m'
_space_group_IT_number 221
_space_group_name_Hall '-P 4 2 3'
_cell_length_a 5.395
_cell_length_b 5.395
_cell_length_c 5.395
_cell_angle_alpha 90.00
_cell_angle_beta 90.00
_cell_angle_gamma 90.00
loop_
_atom_site_label
_atom_site_type_symbol
_atom_site_fract_x
_atom_site_fract_y
_atom_site_fract_z
_atom_site_occupancy
Ca1 Ca 0.000 0.000 0.500 1
Cr1 Cr 0.500 0.500 0.500 1
Os1 Os 0.000 0.000 0.000 1


# meta-GGA SCAN CaCrOs, PBEsol geometry
# Spin magnetization   15.69 Bohr magnetons per cell
# ΔH_f (0 K)   1740.0 meV/atom
# Crystal system   cubic
# DOS(E_F)   23.8 states/eV/cell
data_CaCrOs
_chemical_formula_sum 'Ca4 Cr4 Os4'
_space_group_name_H-M_alt 'F -4 3 m'
_space_group_IT_number 216
_space_group_name_Hall 'F -4 2 3'
_cell_length_a 6.301
_cell_length_b 6.301
_cell_length_c 6.301
_cell_angle_alpha 90.00
_cell_angle_beta 90.00
_cell_angle_gamma 90.00
loop_
_atom_site_label
_atom_site_type_symbol
_atom_site_fract_x
_atom_site_fract_y
_atom_site_fract_z
_atom_site_occupancy
Ca1 Ca 0.000 0.000 0.000 1
Cr1 Cr 0.250 0.250 0.250 1
Os1 Os 0.250 0.250 0.750 1


# meta-GGA SCAN Ca2CrOsW, PBEsol geometry
# Spin magnetization   6.11 Bohr magnetons per cell
# ΔH_f (0 K)   1720.2 meV/atom
# Crystal system   tetragonal
# DOS(E_F)   5.2 states/eV/cell
data_Ca2CrOsW
_chemical_formula_sum 'Ca2 Cr1 Os1 W1'
_space_group_name_H-M_alt 'P 4/m m m'
_space_group_IT_number 123
_space_group_name_Hall '-P 4 2'
_cell_length_a 5.109
_cell_length_b 5.109
_cell_length_c 4.359
_cell_angle_alpha 90.00
_cell_angle_beta 90.00
_cell_angle_gamma 90.00
loop_
_atom_site_label
_atom_site_type_symbol
_atom_site_fract_x
_atom_site_fract_y
_atom_site_fract_z
_atom_site_occupancy
Ca1 Ca 0.000 0.500 0.000 1
Cr1 Cr 0.000 0.000 0.000 1
Os1 Os 0.000 0.000 0.500 1
W1 W 0.500 0.500 0.500 1


# meta-GGA SCAN Ca2CrP, PBEsol geometry
# Spin magnetization   15.49 Bohr magnetons per cell
# ΔH_f (0 K)   -310.1 meV/atom
# Crystal system   trigonal
# DOS(E_F)   2.2 states/eV/cell
data_Ca2CrP
_chemical_formula_sum 'Ca6 Cr3 P3'
_space_group_name_H-M_alt 'R -3 m'
_space_group_IT_number 166
_space_group_name_Hall '-R 3 2"'
_cell_length_a 4.1504
_cell_length_b 4.1504
_cell_length_c 22.8100
_cell_angle_alpha 90.00
_cell_angle_beta 90.00
_cell_angle_gamma 120.00
loop_
_atom_site_label
_atom_site_type_symbol
_atom_site_fract_x
_atom_site_fract_y
_atom_site_fract_z
_atom_site_occupancy
Ca1 Ca 0.0000 0.0000 0.2296 1
Cr1 Cr 0.0000 0.0000 0.0000 1
P1 P 0.0000 0.0000 0.5000 1


# meta-GGA SCAN CaCr3P, PBEsol geometry
# Spin magnetization   7.40 Bohr magnetons per cell
# ΔH_f (0 K)   271.0 meV/atom
# Crystal system   cubic
# DOS(E_F)   4.2 states/eV/cell
data_CaCr3P
_chemical_formula_sum 'Ca1 Cr3 P1'
_space_group_name_H-M_alt 'P m -3 m'
_space_group_IT_number 221
_space_group_name_Hall '-P 4 2 3'
_cell_length_a 4.390
_cell_length_b 4.390
_cell_length_c 4.390
_cell_angle_alpha 90.00
_cell_angle_beta 90.00
_cell_angle_gamma 90.00
loop_
_atom_site_label
_atom_site_type_symbol
_atom_site_fract_x
_atom_site_fract_y
_atom_site_fract_z
_atom_site_occupancy
Ca1 Ca 0.000 0.000 0.000 1
Cr1 Cr 0.000 0.500 0.500 1
P1 P 0.500 0.500 0.500 1


# meta-GGA SCAN CaCr2Pb, PBEsol geometry
# Spin magnetization   25.95 Bohr magnetons per cell
# ΔH_f (0 K)   529.4 meV/atom
# Crystal system   trigonal
# DOS(E_F)   8.5 states/eV/cell
data_CaCr2Pb
_chemical_formula_sum 'Ca3 Cr6 Pb3'
_space_group_name_H-M_alt 'R -3 m'
_space_group_IT_number 166
_space_group_name_Hall '-R 3 2"'
_cell_length_a 3.3403
_cell_length_b 3.3403
_cell_length_c 28.9240
_cell_angle_alpha 90.00
_cell_angle_beta 90.00
_cell_angle_gamma 120.00
loop_
_atom_site_label
_atom_site_type_symbol
_atom_site_fract_x
_atom_site_fract_y
_atom_site_fract_z
_atom_site_occupancy
Ca1 Ca 0.0000 0.0000 0.0000 1
Cr1 Cr 0.0000 0.0000 0.2439 1
Pb1 Pb 0.0000 0.0000 0.5000 1


# meta-GGA SCAN CaCrPb2, PBEsol geometry
# Spin magnetization   13.63 Bohr magnetons per cell
# ΔH_f (0 K)   204.0 meV/atom
# Crystal system   trigonal
# DOS(E_F)   7.1 states/eV/cell
data_CaCrPb2
_chemical_formula_sum 'Ca3 Cr3 Pb6'
_space_group_name_H-M_alt 'R 3 m'
_space_group_IT_number 160
_space_group_name_Hall 'R 3 -2"'
_cell_length_a 3.5082
_cell_length_b 3.5082
_cell_length_c 30.2434
_cell_angle_alpha 90.00
_cell_angle_beta 90.00
_cell_angle_gamma 120.00
loop_
_atom_site_label
_atom_site_type_symbol
_atom_site_fract_x
_atom_site_fract_y
_atom_site_fract_z
_atom_site_occupancy
Ca1 Ca 0.0000 0.0000 0.0000 1
Cr1 Cr 0.0000 0.0000 0.7488 1
Pb1 Pb 0.0000 0.0000 0.2432 1
Pb2 Pb 0.0000 0.0000 0.4870 1


# meta-GGA SCAN CaCrPb, PBEsol geometry
# Spin magnetization   8.95 Bohr magnetons per cell
# ΔH_f (0 K)   -67.0 meV/atom
# Crystal system   tetragonal
# DOS(E_F)   3.9 states/eV/cell
data_CaCrPb
_chemical_formula_sum 'Ca2 Cr2 Pb2'
_space_group_name_H-M_alt 'I 4 m m'
_space_group_IT_number 107
_space_group_name_Hall 'I 4 -2'
_cell_length_a 3.680
_cell_length_b 3.680
_cell_length_c 10.993
_cell_angle_alpha 90.00
_cell_angle_beta 90.00
_cell_angle_gamma 90.00
loop_
_atom_site_label
_atom_site_type_symbol
_atom_site_fract_x
_atom_site_fract_y
_atom_site_fract_z
_atom_site_occupancy
Ca1 Ca 0.000 0.000 0.000 1
Cr1 Cr 0.000 0.000 0.692 1
Pb1 Pb 0.000 0.000 0.309 1